DFT (PBE-GGA) results for a relaxed structure of PmHoPdRu.

Cell lengths 3.458, 3.458, 7.122 Å; angles 90.00, 90.00, 90.00 degrees
Positions (direct):
Ru 0.000 0.000 0.368
Ho 0.500 0.500 0.599
Pd 0.000 0.000 0.841
Pm 0.500 0.500 0.120

Calculated values
E_form: -0.6048 eV per atom
M_tot: 0.00 μB/atom
E_tot: -6.55 eV per atom
ΔE to the lowest computed polymorph: 0 meV/atom